1.
Tc2HgIF | GGA-PBE | relaxed

```
data_Tc2HgIF
_chemical_formula_sum 'Tc2 Hg1 I1 F1'
_space_group_name_H-M_alt 'P 4/m m m'
_space_group_IT_number 123
_space_group_name_Hall '-P 4 2'
_cell_length_a 5.081
_cell_length_b 5.081
_cell_length_c 6.164
_cell_angle_alpha 90.00
_cell_angle_beta 90.00
_cell_angle_gamma 90.00
loop_
_atom_site_label
_atom_site_fract_x
_atom_site_fract_y
_atom_site_fract_z
_atom_site_occupancy
Tc1 0.000 0.500 0.000 1
Hg1 0.000 0.000 0.500 1
I1 0.000 0.000 0.000 1
F1 0.500 0.500 0.500 1
```

Computed properties:
For the formation energy without anion corrections, the calculation gives 1499 meV/atom. As for the total energy: -16.959 eV/f.u. The calculated density is 5.66 Mg/m³.

2.
CdReBr | GGA-PBE | relaxed

```
data_CdReBr
_chemical_formula_sum 'Cd2 Re2 Br2'
_space_group_name_H-M_alt 'I 4 m m'
_space_group_IT_number 107
_space_group_name_Hall 'I 4 -2'
_cell_length_a 3.084
_cell_length_b 3.084
_cell_length_c 13.251
_cell_angle_alpha 90.00
_cell_angle_beta 90.00
_cell_angle_gamma 90.00
loop_
_atom_site_label
_atom_site_fract_x
_atom_site_fract_y
_atom_site_fract_z
_atom_site_occupancy
Cd1 0.000 0.000 0.000 1
Re1 0.000 0.000 0.355 1
Br1 0.000 0.000 0.739 1
```

Computed properties:
For the formation energy without anion corrections, the calculation gives 886 meV/atom. The value obtained for the energy relative to the lowest polymorph listed for this composition is 203 meV/atom. As for the total energy: -12.377 eV/f.u. The calculated density is 9.97 Mg/m³.

3.
AlTlOs2 | GGA-PBE | relaxed

```
data_AlTlOs2
_chemical_formula_sum 'Al2 Tl2 Os4'
_space_group_name_H-M_alt 'C m m m'
_space_group_IT_number 65
_space_group_name_Hall '-C 2 2'
_cell_length_a 2.934
_cell_length_b 4.885
_cell_length_c 9.396
_cell_angle_alpha 90.00
_cell_angle_beta 90.00
_cell_angle_gamma 90.00
loop_
_atom_site_label
_atom_site_fract_x
_atom_site_fract_y
_atom_site_fract_z
_atom_site_occupancy
Al1 0.000 0.000 0.000 1
Tl1 0.000 0.000 0.500 1
Os1 0.000 0.500 0.216 1
```

Computed properties:
The calculated formation energy comes out at 0.55 eV per atom. The value obtained for the energy relative to the lowest polymorph listed for this composition is 324 meV/atom. As for the total energy: -26.365 eV/f.u. The calculated density is 15.09 Mg/m³.

4.
LiNi4Sb12 | GGA-PBE | relaxed

```
data_LiNi4Sb12
_chemical_formula_sum 'Li2 Ni8 Sb24'
_space_group_name_H-M_alt 'I m -3'
_space_group_IT_number 204
_space_group_name_Hall '-I 2 2 3'
_cell_length_a 9.279
_cell_length_b 9.279
_cell_length_c 9.279
_cell_angle_alpha 90.00
_cell_angle_beta 90.00
_cell_angle_gamma 90.00
loop_
_atom_site_label
_atom_site_fract_x
_atom_site_fract_y
_atom_site_fract_z
_atom_site_occupancy
Li1 0.000 0.000 0.000 1
Ni1 0.250 0.250 0.250 1
Sb1 0.000 0.335 0.159 1
```

Computed properties:
For the formation energy without anion corrections, the calculation gives -161 meV/atom. As for the total energy: -77.252 eV/f.u. The calculated density is 7.08 Mg/m³.

5.
SrAg2Hg | GGA-PBE | relaxed

```
data_SrAg2Hg
_chemical_formula_sum 'Sr1 Ag2 Hg1'
_space_group_name_H-M_alt 'P 1 2/m 1'
_space_group_IT_number 10
_cell_length_a 3.958
_cell_length_b 4.955
_cell_length_c 5.632
_cell_angle_alpha 90.00
_cell_angle_beta 90.09
_cell_angle_gamma 90.00
loop_
_space_group_symop_operation_xyz
'x,y,z'
'-x,-y,-z'
'-x,y,-z'
'x,-y,z'
loop_
_atom_site_label
_atom_site_fract_x
_atom_site_fract_y
_atom_site_fract_z
_atom_site_occupancy
Sr1 0.000 0.000 0.000 1
Ag1 0.500 0.500 0.246 1
Hg1 0.500 0.000 0.500 1
```

Computed properties:
The calculated formation energy comes out at -0.19 eV per atom. As for the total energy: -8.435 eV/f.u. The calculated density is 7.58 Mg/m³.

6.
K2CeGaS4 | GGA-PBE | relaxed

```
data_K2CeGaS4
_chemical_formula_sum 'K8 Ce4 Ga4 S16'
_space_group_name_H-M_alt 'I m m a'
_space_group_IT_number 74
_space_group_name_Hall '-I 2b 2'
_cell_length_a 8.189
_cell_length_b 8.383
_cell_length_c 11.879
_cell_angle_alpha 90.00
_cell_angle_beta 90.00
_cell_angle_gamma 90.00
loop_
_atom_site_label
_atom_site_fract_x
_atom_site_fract_y
_atom_site_fract_z
_atom_site_occupancy
K1 0.000 0.000 0.000 1
K2 0.250 0.250 0.250 1
Ce1 0.000 0.000 0.500 1
Ga1 0.250 0.250 0.750 1
S1 0.000 0.051 0.737 1
S2 0.221 0.250 0.514 1
```

Computed properties:
For the formation energy without anion corrections, the calculation gives -1221 meV/atom. As for the total energy: -37.435 eV/f.u. The calculated density is 3.39 Mg/m³.

7.
Ti2Ni2Sb | GGA-PBE | relaxed

```
data_Ti2Ni2Sb
_chemical_formula_sum 'Ti4 Ni4 Sb2'
_space_group_name_H-M_alt 'P 4/m b m'
_space_group_IT_number 127
_space_group_name_Hall '-P 4 2ab'
_cell_length_a 7.233
_cell_length_b 7.233
_cell_length_c 3.095
_cell_angle_alpha 90.00
_cell_angle_beta 90.00
_cell_angle_gamma 90.00
loop_
_atom_site_label
_atom_site_fract_x
_atom_site_fract_y
_atom_site_fract_z
_atom_site_occupancy
Ti1 0.153 0.347 0.000 1
Ni1 0.127 0.627 0.500 1
Sb1 0.000 0.000 0.000 1
```

Computed properties:
For the formation energy without anion corrections, the calculation gives -138 meV/atom. The value obtained for the energy relative to the lowest polymorph listed for this composition is 285 meV/atom. As for the total energy: -32.165 eV/f.u. The calculated density is 6.87 Mg/m³.

8.
Rb2Pr2PbO6 | GGA-PBE | relaxed

```
data_Rb2Pr2PbO6
_chemical_formula_sum 'Rb4 Pr4 Pb2 O12'
_space_group_name_H-M_alt 'C 1 2/m 1'
_space_group_IT_number 12
_cell_length_a 6.247
_cell_length_b 10.802
_cell_length_c 7.010
_cell_angle_alpha 90.00
_cell_angle_beta 105.63
_cell_angle_gamma 90.00
loop_
_space_group_symop_operation_xyz
'x,y,z'
'-x,-y,-z'
'-x,y,-z'
'x,-y,z'
'x+1/2,y+1/2,z'
'-x+1/2,-y+1/2,-z'
'-x+1/2,y+1/2,-z'
'x+1/2,-y+1/2,z'
loop_
_atom_site_label
_atom_site_fract_x
_atom_site_fract_y
_atom_site_fract_z
_atom_site_occupancy
Rb1 0.000 0.162 0.000 1
Pr1 0.000 0.335 0.500 1
Pb1 0.000 0.000 0.500 1
O1 0.208 0.162 0.671 1
O2 0.249 0.500 0.672 1
```

Computed properties:
For the formation energy without anion corrections, the calculation gives -2083 meV/atom. As for the total energy: -67.860 eV/f.u. The calculated density is 5.51 Mg/m³.

9.
TbHfSe4 | GGA-PBE | relaxed

```
data_TbHfSe4
_chemical_formula_sum 'Tb2 Hf2 Se8'
_space_group_name_H-M_alt 'P 1 21/c 1'
_space_group_IT_number 14
_cell_length_a 6.700
_cell_length_b 6.877
_cell_length_c 6.787
_cell_angle_alpha 90.00
_cell_angle_beta 92.51
_cell_angle_gamma 90.00
loop_
_space_group_symop_operation_xyz
'x,y,z'
'-x,-y,-z'
'-x,y+1/2,-z+1/2'
'x,-y+1/2,z+1/2'
loop_
_atom_site_label
_atom_site_fract_x
_atom_site_fract_y
_atom_site_fract_z
_atom_site_occupancy
Tb1 0.000 0.000 0.000 1
Hf1 0.500 0.000 0.500 1
Se1 0.142 0.129 0.390 1
Se2 0.370 0.659 0.331 1
```

Computed properties:
For the formation energy without anion corrections, the calculation gives -1198 meV/atom. As for the total energy: -35.712 eV/f.u. The calculated density is 6.94 Mg/m³.

10.
MnIn2Re | GGA-PBE | relaxed

```
data_MnIn2Re
_chemical_formula_sum 'Mn1 In2 Re1'
_space_group_name_H-M_alt 'P 4/m m m'
_space_group_IT_number 123
_space_group_name_Hall '-P 4 2'
_cell_length_a 2.951
_cell_length_b 2.951
_cell_length_c 8.122
_cell_angle_alpha 90.00
_cell_angle_beta 90.00
_cell_angle_gamma 90.00
loop_
_atom_site_label
_atom_site_fract_x
_atom_site_fract_y
_atom_site_fract_z
_atom_site_occupancy
Mn1 0.000 0.000 0.000 1
In1 0.500 0.500 0.247 1
Re1 0.000 0.000 0.500 1
```

Computed properties:
The calculated formation energy comes out at 0.54 eV per atom. The value obtained for the energy relative to the lowest polymorph listed for this composition is 273 meV/atom. As for the total energy: -24.942 eV/f.u. The calculated density is 11.05 Mg/m³.

11.
CsU2Te6Au2 | GGA-PBE | relaxed

```
data_CsU2Te6Au2
_chemical_formula_sum 'Cs1 U2 Te6 Au2'
_space_group_name_H-M_alt 'P -1'
_space_group_IT_number 2
_cell_length_a 8.125
_cell_length_b 8.226
_cell_length_c 8.529
_cell_angle_alpha 63.08
_cell_angle_beta 63.33
_cell_angle_gamma 61.41
loop_
_space_group_symop_operation_xyz
'x,y,z'
'-x,-y,-z'
loop_
_atom_site_label
_atom_site_fract_x
_atom_site_fract_y
_atom_site_fract_z
_atom_site_occupancy
Cs1 0.000 0.000 0.000 1
U1 0.342 0.333 0.986 1
Te1 0.062 0.498 0.759 1
Te2 0.346 0.929 0.249 1
Te3 0.464 0.691 0.759 1
Au1 0.301 0.580 0.413 1
```

Computed properties:
For the formation energy without anion corrections, the calculation gives -459 meV/atom. As for the total energy: -53.881 eV/f.u. The calculated density is 6.89 Mg/m³.

12.
CaHgMo2 | GGA-PBE | relaxed

```
data_CaHgMo2
_chemical_formula_sum 'Ca3 Hg3 Mo6'
_space_group_name_H-M_alt 'R -3 m'
_space_group_IT_number 166
_space_group_name_Hall '-R 3 2"'
_cell_length_a 2.9804
_cell_length_b 2.9804
_cell_length_c 30.6284
_cell_angle_alpha 90.00
_cell_angle_beta 90.00
_cell_angle_gamma 120.00
loop_
_atom_site_label
_atom_site_fract_x
_atom_site_fract_y
_atom_site_fract_z
_atom_site_occupancy
Ca1 0.0000 0.0000 0.0000 1
Hg1 0.0000 0.0000 0.5000 1
Mo1 0.0000 0.0000 0.2459 1
```

Computed properties:
The calculated formation energy comes out at 0.89 eV per atom. As for the total energy: -20.423 eV/f.u. The calculated density is 9.15 Mg/m³.